No. 1
# PBE BaSrGeO4, relaxed
# symmetry = No. 11
# crystal system = monoclinic
data_BaSrGeO4
_chemical_formula_sum 'Ba2 Sr2 Ge2 O8'
_space_group_name_H-M_alt 'P 1'
_space_group_IT_number 1
_space_group_name_Hall 'P 1'
_cell_length_a 5.930
_cell_length_b 6.047
_cell_length_c 7.310
_cell_angle_alpha 90.00
_cell_angle_beta 108.70
_cell_angle_gamma 90.00
loop_
_atom_site_label
_atom_site_fract_x
_atom_site_fract_y
_atom_site_fract_z
O1 0.952 0.021 0.738
O2 0.048 0.979 0.262
O3 0.048 0.521 0.262
O4 0.438 0.750 0.164
O5 0.952 0.479 0.738
O6 0.562 0.250 0.836
O7 0.576 0.250 0.440
O8 0.424 0.750 0.560
Ge1 0.750 0.250 0.688
Ge2 0.250 0.750 0.312
Sr1 0.194 0.250 0.535
Sr2 0.806 0.750 0.465
Ba1 0.293 0.250 0.072
Ba2 0.707 0.750 0.928

=====

No. 2
# PBE BaSrGe2O, relaxed
# symmetry = No. 123
# crystal system = tetragonal
data_BaSrGe2O
_chemical_formula_sum 'Ba1 Sr1 Ge2 O1'
_space_group_name_H-M_alt 'P 1'
_space_group_IT_number 1
_space_group_name_Hall 'P 1'
_cell_length_a 5.982
_cell_length_b 4.526
_cell_length_c 5.982
_cell_angle_alpha 90.00
_cell_angle_beta 90.00
_cell_angle_gamma 90.00
loop_
_atom_site_label
_atom_site_fract_x
_atom_site_fract_y
_atom_site_fract_z
Ge1 0.500 0.000 0.000
Ge2 0.000 0.000 0.500
Ba1 0.500 0.500 0.500
Sr1 0.000 0.000 0.000
O1 0.000 0.500 0.000

=====

No. 3
# PBE Ba3SrGe2O8, relaxed
# symmetry = No. 164
# crystal system = trigonal
data_Ba3SrGe2O8
_chemical_formula_sum 'Ba3 Sr1 Ge2 O8'
_space_group_name_H-M_alt 'P 1'
_space_group_IT_number 1
_space_group_name_Hall 'P 1'
_cell_length_a 6.083
_cell_length_b 6.083
_cell_length_c 7.705
_cell_angle_alpha 90.00
_cell_angle_beta 90.00
_cell_angle_gamma 120.00
loop_
_atom_site_label
_atom_site_fract_x
_atom_site_fract_y
_atom_site_fract_z
Ge1 0.333 0.667 0.209
Ge2 0.667 0.333 0.791
O1 0.667 0.333 0.017
O2 0.823 0.177 0.701
O3 0.177 0.823 0.299
O4 0.823 0.646 0.701
O5 0.333 0.667 0.983
O6 0.646 0.823 0.299
O7 0.177 0.354 0.299
O8 0.354 0.177 0.701
Ba1 0.667 0.333 0.334
Ba2 0.333 0.667 0.666
Ba3 0.000 0.000 0.000
Sr1 0.000 0.000 0.500

=====

No. 4
# PBE BaSrGe4O12, relaxed
# symmetry = No. 123
# crystal system = tetragonal
data_BaSrGe4O12
_chemical_formula_sum 'Ba1 Sr1 Ge4 O12'
_space_group_name_H-M_alt 'P 1'
_space_group_IT_number 1
_space_group_name_Hall 'P 1'
_cell_length_a 5.420
_cell_length_b 5.420
_cell_length_c 7.656
_cell_angle_alpha 90.00
_cell_angle_beta 90.00
_cell_angle_gamma 90.00
loop_
_atom_site_label
_atom_site_fract_x
_atom_site_fract_y
_atom_site_fract_z
O1 0.000 0.500 0.000
O2 0.754 0.246 0.243
O3 0.000 0.500 0.500
O4 0.246 0.754 0.243
O5 0.500 0.000 0.000
O6 0.754 0.754 0.243
O7 0.246 0.754 0.757
O8 0.754 0.246 0.757
O9 0.246 0.246 0.243
O10 0.500 0.000 0.500
O11 0.246 0.246 0.757
O12 0.754 0.754 0.757
Ba1 0.500 0.500 0.500
Ge1 0.500 0.000 0.249
Ge2 0.500 0.000 0.751
Ge3 0.000 0.500 0.249
Ge4 0.000 0.500 0.751
Sr1 0.000 0.000 0.000

=====

No. 5
# PBE Ba3TbGe2O8, relaxed
# symmetry = No. 164
# crystal system = trigonal
data_Ba3TbGe2O8
_chemical_formula_sum 'Ba3 Tb1 Ge2 O8'
_space_group_name_H-M_alt 'P 1'
_space_group_IT_number 1
_space_group_name_Hall 'P 1'
_cell_length_a 6.045
_cell_length_b 6.045
_cell_length_c 7.707
_cell_angle_alpha 90.00
_cell_angle_beta 90.00
_cell_angle_gamma 120.00
loop_
_atom_site_label
_atom_site_fract_x
_atom_site_fract_y
_atom_site_fract_z
Ge1 0.667 0.333 0.781
Ge2 0.333 0.667 0.219
Tb1 0.000 0.000 0.500
O1 0.654 0.827 0.321
O2 0.333 0.667 0.990
O3 0.667 0.333 0.010
O4 0.173 0.346 0.321
O5 0.346 0.173 0.679
O6 0.827 0.173 0.679
O7 0.173 0.827 0.321
O8 0.827 0.654 0.679
Ba1 0.000 0.000 0.000
Ba2 0.333 0.667 0.668
Ba3 0.667 0.333 0.332

=====

No. 6
# PBE BaTc2GeO8, relaxed
# symmetry = No. 155
# crystal system = trigonal
data_BaTc2GeO8
_chemical_formula_sum 'Ba1 Tc2 Ge1 O8'
_space_group_name_H-M_alt 'P 1'
_space_group_IT_number 1
_space_group_name_Hall 'P 1'
_cell_length_a 5.304
_cell_length_b 5.304
_cell_length_c 8.597
_cell_angle_alpha 72.03
_cell_angle_beta 72.03
_cell_angle_gamma 60.00
loop_
_atom_site_label
_atom_site_fract_x
_atom_site_fract_y
_atom_site_fract_z
O1 0.903 0.551 0.318
O2 0.677 0.677 0.969
O3 0.097 0.772 0.682
O4 0.551 0.228 0.318
O5 0.323 0.323 0.031
O6 0.228 0.903 0.318
O7 0.772 0.449 0.682
O8 0.449 0.097 0.682
Ge1 0.500 0.500 0.500
Tc1 0.751 0.751 0.746
Tc2 0.249 0.249 0.254
Ba1 0.000 0.000 0.000

=====

No. 7
# PBE BaGe2TeO8, relaxed
# symmetry = No. 12
# crystal system = monoclinic
data_BaGe2TeO8
_chemical_formula_sum 'Ba1 Ge2 Te1 O8'
_space_group_name_H-M_alt 'P 1'
_space_group_IT_number 1
_space_group_name_Hall 'P 1'
_cell_length_a 4.993
_cell_length_b 4.993
_cell_length_c 8.150
_cell_angle_alpha 87.39
_cell_angle_beta 87.39
_cell_angle_gamma 67.07
loop_
_atom_site_label
_atom_site_fract_x
_atom_site_fract_y
_atom_site_fract_z
Ba1 0.000 0.000 0.500
O1 0.232 0.232 0.978
O2 0.768 0.245 0.177
O3 0.768 0.768 0.022
O4 0.691 0.691 0.400
O5 0.755 0.232 0.823
O6 0.232 0.755 0.823
O7 0.245 0.768 0.177
O8 0.309 0.309 0.600
Ge1 0.637 0.637 0.202
Ge2 0.363 0.363 0.798
Te1 0.000 0.000 0.000

=====

No. 8
# PBE BaGeTeO6, relaxed
# symmetry = No. 163
# crystal system = trigonal
data_BaGeTeO6
_chemical_formula_sum 'Ba2 Ge2 Te2 O12'
_space_group_name_H-M_alt 'P 1'
_space_group_IT_number 1
_space_group_name_Hall 'P 1'
_cell_length_a 5.186
_cell_length_b 5.186
_cell_length_c 11.782
_cell_angle_alpha 90.00
_cell_angle_beta 90.00
_cell_angle_gamma 120.00
loop_
_atom_site_label
_atom_site_fract_x
_atom_site_fract_y
_atom_site_fract_z
O1 0.387 0.996 0.656
O2 0.996 0.610 0.344
O3 0.613 0.004 0.344
O4 0.004 0.390 0.656
O5 0.387 0.390 0.844
O6 0.613 0.610 0.156
O7 0.390 0.387 0.344
O8 0.004 0.613 0.844
O9 0.610 0.996 0.844
O10 0.996 0.387 0.156
O11 0.390 0.004 0.156
O12 0.610 0.613 0.656
Te1 0.667 0.333 0.750
Te2 0.333 0.667 0.250
Ba1 0.000 0.000 0.000
Ba2 0.000 0.000 0.500
Ge1 0.333 0.667 0.750
Ge2 0.667 0.333 0.250

=====

The size of the total moment results, record by record, are as follows: 0.00; 0.00; 0.12; 3.81; 0.00; 2.03; 0.00; 0.00 μB per formula unit.
The ΔE_f (raw) results, record by record, are as follows: -2.452; -0.168; -2.446; -1.411; -2.405; -1.495; -1.645; -1.789 eV/atom.